#1
8
Lattice="2.087 -6.243 0.000 2.087 6.243 0.000 0.000 0.000 9.622" Properties=species:S:1:pos:R:3 comment="PrY2Sb PBE optimized geometry" spacegroup="Cmcm, No. 63" n_ef_per_ev_atom=1.399 magmom_total_mub_per_cell=1.9 pbc="T T T"
Pr 2.087 5.531 7.216
Pr 2.087 -5.531 2.405
Y 2.087 1.725 5.226
Y 2.087 1.725 9.206
Y 2.087 -1.725 0.416
Y 2.087 -1.725 4.395
Sb 2.087 3.282 2.405
Sb 2.087 -3.282 7.216

#2
4
Lattice="4.904 0.000 0.000 0.000 4.904 0.000 0.000 0.000 4.782" Properties=species:S:1:pos:R:3 comment="PrY2Sb PBE optimized geometry" spacegroup="P4/mmm, No. 123" n_ef_per_ev_atom=1.030 magmom_total_mub_per_cell=0.0 pbc="T T T"
Pr 0.000 0.000 0.000
Y 0.000 2.452 2.391
Y 2.452 0.000 2.391
Sb 2.452 2.452 0.000

#3
4
Lattice="2.021 1.167 9.643 -2.021 1.167 9.643 0.000 -2.333 9.643" Properties=species:S:1:pos:R:3 comment="PrY2Sb PBE optimized geometry" spacegroup="R3m, No. 160" n_ef_per_ev_atom=1.182 magmom_total_mub_per_cell=0.5 pbc="T T T"
Pr 0.000 0.000 0.000
Y 0.000 0.000 6.756
Y 0.000 0.000 12.577
Sb 0.000 0.000 24.142

#4
4
Lattice="0.000 3.843 3.843 3.843 0.000 3.843 3.843 3.843 0.000" Properties=species:S:1:pos:R:3 comment="PrY2Sb PBE optimized geometry" spacegroup="Fm-3m, No. 225" n_ef_per_ev_atom=1.326 magmom_total_mub_per_cell=0.0 pbc="T T T"
Pr 0.000 0.000 0.000
Y 1.921 1.921 1.921
Y 5.764 5.764 5.764
Sb 3.843 3.843 3.843

Stability summary - winner: #1; margin: 96 meV/atom.

#1
4
Lattice="4.874 0.000 0.000 0.000 4.874 0.000 0.000 0.000 5.008" Properties=species:S:1:pos:R:3 comment="Pr2YSb PBE optimized geometry" spacegroup="P4/mmm, No. 123" n_ef_per_ev_atom=0.858 magmom_total_mub_per_cell=0.0 pbc="T T T"
Pr 0.000 2.437 0.000
Pr 2.437 0.000 0.000
Y 0.000 0.000 2.504
Sb 2.437 2.437 2.504

#2
4
Lattice="0.000 3.938 3.938 3.938 0.000 3.938 3.938 3.938 0.000" Properties=species:S:1:pos:R:3 comment="Pr2YSb PBE optimized geometry" spacegroup="Fm-3m, No. 225" n_ef_per_ev_atom=0.577 magmom_total_mub_per_cell=0.0 pbc="T T T"
Pr 1.969 1.969 1.969
Pr 5.906 5.906 5.906
Y 0.000 0.000 0.000
Sb 3.938 3.938 3.938

Stability summary - winner: #1; margin: 234 meV/atom.

#1
5
Lattice="5.764 0.000 0.000 0.000 5.764 0.000 0.000 0.000 5.764" Properties=species:S:1:pos:R:3 comment="Pr4Sc PBE optimized geometry" spacegroup="Pm-3m, No. 221" n_ef_per_ev_atom=1.650 magmom_total_mub_per_cell=0.5 pbc="T T T"
Pr 0.000 0.000 0.000
Pr 0.000 2.882 2.882
Pr 2.882 0.000 2.882
Pr 2.882 2.882 0.000
Sc 2.882 2.882 2.882

#2
5
Lattice="-2.298 2.298 8.562 2.298 -2.298 8.562 2.298 2.298 -8.562" Properties=species:S:1:pos:R:3 comment="Pr4Sc PBE optimized geometry" spacegroup="I4/mmm, No. 139" n_ef_per_ev_atom=1.798 magmom_total_mub_per_cell=0.0 pbc="T T T"
Pr 0.000 0.000 1.543
Pr 2.298 0.000 4.281
Pr 0.000 2.298 4.281
Pr 0.000 0.000 15.580
Sc 0.000 0.000 8.562

#3
5
Lattice="-1.832 1.832 12.558 1.832 -1.832 12.558 1.832 1.832 -12.558" Properties=species:S:1:pos:R:3 comment="Pr4Sc PBE optimized geometry" spacegroup="I4/mmm, No. 139" n_ef_per_ev_atom=1.434 magmom_total_mub_per_cell=0.0 pbc="T T T"
Pr 0.000 0.000 2.304
Pr 0.000 0.000 7.621
Pr 0.000 0.000 17.495
Pr 0.000 0.000 22.812
Sc 0.000 0.000 12.558

Stability summary - winner: #3; margin: 384 meV/atom.

#1
12
Lattice="6.792 0.000 0.000 0.000 4.843 0.000 0.000 0.000 10.214" Properties=species:S:1:pos:R:3 comment="PrSc2 PBE optimized geometry" spacegroup="Pnma, No. 62" n_ef_per_ev_atom=1.537 magmom_total_mub_per_cell=0.0 pbc="T T T"
Pr 0.891 1.211 0.890
Pr 2.505 3.632 5.997
Pr 4.287 1.211 4.217
Pr 5.901 3.632 9.324
Sc 0.793 1.211 7.618
Sc 0.858 1.211 4.254
Sc 2.538 3.632 9.361
Sc 2.603 3.632 2.511
Sc 4.189 1.211 7.704
Sc 4.254 1.211 0.853
Sc 5.934 3.632 5.960
Sc 5.999 3.632 2.597

#2
6
Lattice="3.335 -3.333 0.000 3.335 3.333 0.000 -1.677 0.000 7.784" Properties=species:S:1:pos:R:3 comment="PrSc2 PBE optimized geometry" spacegroup="C2/m, No. 12" n_ef_per_ev_atom=1.774 magmom_total_mub_per_cell=0.0 pbc="T T T"
Pr 0.034 0.000 2.403
Pr 4.959 0.000 5.381
Sc 1.668 1.666 0.000
Sc 1.678 0.000 5.399
Sc 1.668 -1.666 0.000
Sc 3.315 0.000 2.385

#3
6
Lattice="0.000 4.510 4.510 4.510 0.000 4.510 4.510 4.510 0.000" Properties=species:S:1:pos:R:3 comment="PrSc2 PBE optimized geometry" spacegroup="Fd-3m, No. 227" n_ef_per_ev_atom=1.765 magmom_total_mub_per_cell=6.6 pbc="T T T"
Pr 1.127 1.127 1.127
Pr 7.892 7.892 7.892
Sc 4.510 2.255 2.255
Sc 2.255 4.510 2.255
Sc 2.255 2.255 4.510
Sc 4.510 4.510 4.510

#4
3
Lattice="-1.912 1.912 5.804 1.912 -1.912 5.804 1.912 1.912 -5.804" Properties=species:S:1:pos:R:3 comment="PrSc2 PBE optimized geometry" spacegroup="I4/mmm, No. 139" n_ef_per_ev_atom=1.581 magmom_total_mub_per_cell=0.0 pbc="T T T"
Pr 0.000 0.000 0.000
Sc 0.000 0.000 3.711
Sc 0.000 0.000 7.898

Stability summary - winner: #1; margin: 17 meV/atom.

#1
8
Lattice="7.308 0.000 0.000 -3.654 6.329 0.000 0.000 0.000 5.785" Properties=species:S:1:pos:R:3 comment="Pr3Sc PBE optimized geometry" spacegroup="P6_3/mmc, No. 194" n_ef_per_ev_atom=1.793 magmom_total_mub_per_cell=0.0 pbc="T T T"
Pr 0.000 2.162 1.446
Pr -1.782 5.248 1.446
Pr 1.872 1.081 4.339
Pr 1.782 5.248 1.446
Pr 5.436 1.081 4.339
Pr 3.654 4.167 4.339
Sc 0.000 4.219 4.339
Sc 3.654 2.110 1.446

#2
4
Lattice="5.085 0.000 0.000 0.000 5.085 0.000 0.000 0.000 5.085" Properties=species:S:1:pos:R:3 comment="Pr3Sc PBE optimized geometry" spacegroup="Pm-3m, No. 221" n_ef_per_ev_atom=1.247 magmom_total_mub_per_cell=0.0 pbc="T T T"
Pr 0.000 0.000 2.542
Pr 0.000 2.542 0.000
Pr 2.542 0.000 0.000
Sc 2.542 2.542 2.542

Stability summary - winner: #2; margin: 15 meV/atom.

#1
6
Lattice="2.669 -8.192 0.000 2.669 8.192 0.000 0.000 0.000 3.609" Properties=species:S:1:pos:R:3 comment="PrSc5 PBE optimized geometry" spacegroup="Cmmm, No. 65" n_ef_per_ev_atom=1.848 magmom_total_mub_per_cell=0.0 pbc="T T T"
Pr 0.000 0.000 0.000
Sc 2.669 5.179 1.804
Sc 2.669 2.572 0.000
Sc 2.669 0.000 1.804
Sc 2.669 -2.572 0.000
Sc 2.669 -5.179 1.804

#2
12
Lattice="5.747 0.000 0.000 0.000 9.980 0.000 -1.892 0.000 5.447" Properties=species:S:1:pos:R:3 comment="PrSc5 PBE optimized geometry" spacegroup="P2_1/m, No. 11" n_ef_per_ev_atom=1.560 magmom_total_mub_per_cell=0.0 pbc="T T T"
Pr 1.432 2.495 0.000
Pr 2.424 7.485 5.446
Sc 0.490 0.805 2.723
Sc 0.490 4.185 2.723
Sc 1.438 5.816 0.002
Sc 1.438 9.155 0.002
Sc 0.493 7.485 2.726
Sc 3.362 2.495 2.721
Sc 2.417 0.826 5.445
Sc 2.417 4.165 5.445
Sc 3.366 5.795 2.723
Sc 3.366 9.175 2.723

Stability summary - winner: #2; margin: 36 meV/atom.

#1
8
Lattice="4.430 -4.595 0.000 4.430 4.595 0.000 0.000 0.000 5.596" Properties=species:S:1:pos:R:3 comment="PrSc3 PBE optimized geometry" spacegroup="Cmcm, No. 63" n_ef_per_ev_atom=1.537 magmom_total_mub_per_cell=0.0 pbc="T T T"
Pr 4.430 3.900 4.197
Pr 4.430 -3.900 1.399
Sc 2.991 2.152 1.399
Sc 4.430 0.828 4.197
Sc 5.869 2.152 1.399
Sc 2.991 -2.152 4.197
Sc 4.430 -0.828 1.399
Sc 5.869 -2.152 4.197

#2
4
Lattice="-2.428 2.428 4.600 2.428 -2.428 4.600 2.428 2.428 -4.600" Properties=species:S:1:pos:R:3 comment="PrSc3 PBE optimized geometry" spacegroup="I4/mmm, No. 139" n_ef_per_ev_atom=1.758 magmom_total_mub_per_cell=0.0 pbc="T T T"
Pr 0.000 0.000 0.000
Sc 2.428 0.000 2.300
Sc 0.000 0.000 4.600
Sc 0.000 2.428 2.300

Stability summary - winner: #2; margin: 168 meV/atom.

#1
12
Lattice="3.401 1.964 8.143 -3.401 1.964 8.143 0.000 -3.927 8.143" Properties=species:S:1:pos:R:3 comment="PrSc3 PBE optimized geometry" spacegroup="R-3m, No. 166" n_ef_per_ev_atom=1.519 magmom_total_mub_per_cell=0.0 pbc="T T T"
Pr 0.000 0.000 0.000
Pr 0.000 0.000 5.387
Pr 0.000 0.000 19.042
Sc -1.701 -0.982 8.143
Sc -1.653 -0.954 13.576
Sc 0.000 -1.908 10.853
Sc -1.653 0.954 10.853
Sc -1.701 0.982 16.286
Sc 0.000 1.964 8.143
Sc 1.653 -0.954 13.576
Sc 0.000 1.908 13.576
Sc 1.653 0.954 10.853

#2
4
Lattice="4.771 0.000 0.000 0.000 4.771 0.000 0.000 0.000 4.771" Properties=species:S:1:pos:R:3 comment="PrSc3 PBE optimized geometry" spacegroup="Pm-3m, No. 221" n_ef_per_ev_atom=2.022 magmom_total_mub_per_cell=0.0 pbc="T T T"
Pr 0.000 0.000 0.000
Sc 0.000 2.386 2.386
Sc 2.386 0.000 2.386
Sc 2.386 2.386 0.000

#3
4
Lattice="3.434 0.000 0.000 0.000 5.362 0.000 0.000 0.000 5.930" Properties=species:S:1:pos:R:3 comment="PrSc3 PBE optimized geometry" spacegroup="Pmm2, No. 25" n_ef_per_ev_atom=1.932 magmom_total_mub_per_cell=0.3 pbc="T T T"
Pr 0.000 0.000 0.000
Sc 0.000 2.681 3.897
Sc 1.717 0.000 2.928
Sc 1.717 2.681 1.041

Stability summary - winner: #1; margin: 20 meV/atom.

#1
6
Lattice="-1.970 2.490 8.025 1.970 -2.490 8.025 1.970 2.490 -8.025" Properties=species:S:1:pos:R:3 comment="Pr2ScSe3 PBE optimized geometry" spacegroup="Immm, No. 71" n_ef_per_ev_atom=0.636 magmom_total_mub_per_cell=0.0 pbc="T T T"
Pr 0.000 0.000 2.317
Pr 0.000 0.000 13.734
Sc 0.000 0.000 8.025
Se 1.970 0.000 0.000
Se 0.000 0.000 5.317
Se 0.000 0.000 10.733

#2
24
Lattice="0.000 5.857 12.263 4.191 0.000 12.263 4.191 5.857 0.000" Properties=species:S:1:pos:R:3 comment="Pr2ScSe3 PBE optimized geometry" spacegroup="Fddd, No. 70" n_ef_per_ev_atom=0.526 magmom_total_mub_per_cell=0.0 pbc="T T T"
Pr 1.048 1.464 1.137
Pr 3.143 4.393 2.992
Pr 1.048 1.464 4.995
Pr 5.239 7.321 9.123
Pr 3.143 4.393 15.403
Pr 7.334 10.250 19.531
Pr 5.239 7.321 21.534
Pr 7.334 10.250 23.389
Sc 3.143 4.393 7.199
Sc 3.143 4.393 11.196
Sc 5.239 7.321 13.330
Sc 5.239 7.321 17.327
Se 3.248 1.594 7.032
Se 5.020 4.393 9.197
Se 3.038 1.594 11.363
Se 5.134 4.522 13.163
Se 7.115 7.321 15.329
Se 5.344 4.522 17.494
Se 3.038 7.192 7.032
Se 1.267 4.393 9.197
Se 3.248 7.192 11.363
Se 5.344 10.121 13.163
Se 3.362 7.321 15.329
Se 5.134 10.121 17.494

Stability summary - winner: #2; margin: 148 meV/atom.